# IrSN2F, optimized geometry, DFT PBE
# Space-group type   P4/mmm
# Formation energy without anion corrections   1014 meV per atom
# Excess energy over the best structure of this formula in the dataset   0.152 eV per atom
data_IrSN2F
_chemical_formula_sum 'Ir1 S1 N2 F1'
_symmetry_space_group_name_H-M 'P 1'
_symmetry_Int_Tables_number 1
_symmetry_space_group_name_Hall 'P 1'
_cell_length_a 3.883
_cell_length_b 3.883
_cell_length_c 4.098
_cell_angle_alpha 90.00
_cell_angle_beta 90.00
_cell_angle_gamma 90.00
loop_
_atom_site_label
_atom_site_fract_x
_atom_site_fract_y
_atom_site_fract_z
N1 0.000 0.500 0.000
N2 0.500 0.000 0.000
S1 0.500 0.500 0.500
Ir1 0.000 0.000 0.000
F1 0.000 0.000 0.500